Entry 1:
Below is a relaxed Li2CdCo crystal, with properties calculated at the PBE level.

```
Li2CdCo
1.0
4.110 0.000 0.000
0.000 4.110 0.000
0.000 0.000 7.163
Li Cd Co
4 2 2
Cartesian
0.000 0.000 0.000 Li
0.000 2.055 1.791 Li
2.055 0.000 5.372 Li
2.055 2.055 3.581 Li
0.000 0.000 3.581 Cd
2.055 2.055 0.000 Cd
0.000 2.055 5.372 Co
2.055 0.000 1.791 Co
```

Calculated values
ΔE_f: 134 meV/atom
spin magnetization: 1.156 μB per formula unit
D(E_F): 1.143 states/eV/atom
space-group type: I-4m2

=====

Entry 2:
Below is a relaxed Ca2PmSO8 crystal, with properties calculated at the PBE level.

```
Ca2PmSO8
1.0
5.136 0.000 0.000
-2.568 4.448 0.000
0.000 0.000 6.379
Ca Pm S O
2 1 1 8
Cartesian
0.000 2.965 2.393 Ca
2.568 1.483 3.986 Ca
0.000 0.000 0.000 Pm
0.000 0.000 3.190 S
0.000 1.339 4.176 O
-1.408 3.778 4.176 O
1.160 0.670 2.203 O
0.000 2.965 0.159 O
2.568 1.483 6.220 O
1.408 3.778 4.176 O
3.976 0.670 2.203 O
2.568 3.109 2.203 O
```

Calculated values
spin magnetization: 2.992 μB per formula unit
E_form (uncorrected): -1709 meV/atom
D(E_F): 0.871 states/eV/atom
space-group type: P-3m1

=====

Entry 3:
Below is a relaxed Pm5Pr3Tm4 crystal, with properties calculated at the PBE level.

```
Pm5Pr3Tm4
1.0
6.262 0.000 0.000
0.000 7.213 0.000
0.001 0.015 8.843
Pm Pr Tm
5 3 4
Cartesian
0.000 0.000 0.000 Pm
2.088 3.617 5.880 Pm
3.119 5.432 0.006 Pm
3.144 1.796 8.838 Pm
4.174 3.611 2.963 Pm
0.000 3.606 0.000 Pr
1.036 1.789 2.970 Pr
5.226 5.439 5.873 Pr
1.055 5.438 2.966 Tm
2.096 0.013 5.875 Tm
4.166 7.215 2.969 Tm
5.207 1.790 5.878 Tm
```

Calculated values
ΔE_f: 18 meV/atom
spin magnetization: 0.000 μB per formula unit
D(E_F): 1.284 states/eV/atom
space-group type: P-1

=====

Entry 4:
Below is a relaxed MgHg2BiC crystal, with properties calculated at the PBE level.

```
MgHg2BiC
1.0
5.363 0.000 0.000
0.000 5.363 0.000
0.000 0.000 5.632
Mg Hg Bi C
1 2 1 1
Cartesian
0.000 0.000 0.000 Mg
0.000 2.682 0.000 Hg
2.682 0.000 0.000 Hg
0.000 0.000 2.816 Bi
2.682 2.682 2.816 C
```

Calculated values
ΔE_f: 1544 meV/atom
spin magnetization: 1.411 μB per formula unit
D(E_F): 0.457 states/eV/atom
space-group type: P4/mmm